No. 1
# YHoHg

An optimized crystal structure of YHoHg (GGA-PBE, Alexandria). Values from VASP.

Structure (Quantum ESPRESSO input):
```
&SYSTEM
  ibrav = 0, nat = 12, ntyp = 3
/
ATOMIC_SPECIES
Hg 200.59 Hg.upf
Y 88.91 Y.upf
Ho 164.93 Ho.upf
ATOMIC_POSITIONS crystal
Hg 0.250 0.399 0.759
Hg 0.250 0.101 0.259
Hg 0.750 0.899 0.741
Hg 0.750 0.601 0.241
Y 0.750 0.306 0.016
Y 0.250 0.806 0.484
Y 0.250 0.694 0.984
Y 0.750 0.194 0.516
Ho 0.750 0.925 0.168
Ho 0.250 0.425 0.332
Ho 0.250 0.075 0.832
Ho 0.750 0.575 0.668
CELL_PARAMETERS angstrom
-2.644 0.522 4.317
-7.289 -3.926 -3.989
2.259 -6.384 2.156
```

Computed properties:
**Symmetry**: Pnma
**DOS(E_F)**: 1.07 states/eV/f.u.
**E above lowest polymorph**: 0.0 meV per atom
**Volume**: 332.4 Å³/cell

***

No. 2
# Y2Ho2Hg

An optimized crystal structure of Y2Ho2Hg (GGA-PBE, Alexandria). Values from VASP.

Structure (Quantum ESPRESSO input):
```
&SYSTEM
  ibrav = 0, nat = 10, ntyp = 3
/
ATOMIC_SPECIES
Hg 200.59 Hg.upf
Y 88.91 Y.upf
Ho 164.93 Ho.upf
ATOMIC_POSITIONS crystal
Hg 0.500 0.500 0.000
Hg 0.250 0.750 0.500
Y 0.178 0.178 0.357
Y 0.572 0.072 0.143
Y 0.928 0.428 0.857
Y 0.822 0.822 0.643
Ho 0.424 0.924 0.848
Ho 0.674 0.674 0.348
Ho 0.076 0.576 0.152
Ho 0.326 0.326 0.652
CELL_PARAMETERS angstrom
-3.115 3.835 1.020
-2.282 -0.670 -4.449
-5.321 -9.510 7.022
```

Computed properties:
**Raw total energy**: -4.52 eV/atom
**Symmetry**: I4_1/amd
**DOS(E_F)**: 9.61 states/eV/f.u.
**Volume**: 317.2 Å³/cell

***

No. 3
# YHo4Hg5

An optimized crystal structure of YHo4Hg5 (GGA-PBE, Alexandria). Values from VASP.

Structure (Quantum ESPRESSO input):
```
&SYSTEM
  ibrav = 0, nat = 10, ntyp = 3
/
ATOMIC_SPECIES
Ho 164.93 Ho.upf
Hg 200.59 Hg.upf
Y 88.91 Y.upf
ATOMIC_POSITIONS crystal
Ho 0.000 0.000 0.600
Ho 0.000 0.000 0.201
Ho 0.000 0.000 0.799
Ho 0.000 0.000 0.400
Hg 0.500 0.500 0.300
Hg 0.500 0.500 0.500
Hg 0.500 0.500 0.898
Hg 0.500 0.500 0.700
Hg 0.500 0.500 0.102
Y 0.000 0.000 0.000
CELL_PARAMETERS angstrom
3.709 0.000 0.000
0.000 3.709 0.000
0.000 0.000 18.576
```

Computed properties:
**Raw total energy**: -3.12 eV/atom
**Symmetry**: P4/mmm
**DOS(E_F)**: 8.60 states/eV/f.u.
**Volume**: 255.5 Å³/cell

***

No. 4
# Y2HoHg2

An optimized crystal structure of Y2HoHg2 (GGA-PBE, Alexandria). Values from VASP.

Structure (Quantum ESPRESSO input):
```
&SYSTEM
  ibrav = 0, nat = 10, ntyp = 3
/
ATOMIC_SPECIES
Hg 200.59 Hg.upf
Y 88.91 Y.upf
Ho 164.93 Ho.upf
ATOMIC_POSITIONS crystal
Hg 0.643 0.750 0.288
Hg 0.357 0.250 0.712
Hg 0.452 0.750 0.903
Hg 0.548 0.250 0.097
Y 0.765 0.250 0.529
Y 0.953 0.250 0.905
Y 0.235 0.750 0.471
Y 0.047 0.750 0.095
Ho 0.854 0.750 0.708
Ho 0.146 0.250 0.292
CELL_PARAMETERS angstrom
3.725 0.000 -0.501
0.000 5.283 0.000
-0.064 0.000 13.717
```

Computed properties:
**Symmetry**: P2_1/m
**DOS(E_F)**: 4.63 states/eV/f.u.
**E above lowest polymorph**: 9.4 meV per atom
**Volume**: 269.7 Å³/cell

***

No. 5
# Y2HoHg

An optimized crystal structure of Y2HoHg (GGA-PBE, Alexandria). Values from VASP.

Structure (Quantum ESPRESSO input):
```
&SYSTEM
  ibrav = 0, nat = 4, ntyp = 3
/
ATOMIC_SPECIES
Hg 200.59 Hg.upf
Y 88.91 Y.upf
Ho 164.93 Ho.upf
ATOMIC_POSITIONS crystal
Hg 0.666 0.666 0.001
Y 0.257 0.257 0.228
Y 0.076 0.076 0.772
Ho 0.500 0.500 0.500
CELL_PARAMETERS angstrom
-1.009 -0.944 3.387
-0.634 -3.510 0.808
9.472 -2.685 4.048
```

Computed properties:
**Symmetry**: R3m
**DOS(E_F)**: 5.16 states/eV/f.u.
**E above lowest polymorph**: 63.3 meV per atom
**Volume**: 120.9 Å³/cell

***

No. 6
# Y9Ho4Hg11

An optimized crystal structure of Y9Ho4Hg11 (GGA-PBE, Alexandria). Values from VASP.

Structure (Quantum ESPRESSO input):
```
&SYSTEM
  ibrav = 0, nat = 24, ntyp = 3
/
ATOMIC_SPECIES
Y 88.91 Y.upf
Ho 164.93 Ho.upf
Hg 200.59 Hg.upf
ATOMIC_POSITIONS crystal
Y 0.500 0.204 0.026
Y 0.500 0.378 0.853
Y 0.500 0.974 0.796
Y 0.500 0.796 0.974
Y 0.500 0.026 0.204
Y 0.500 0.853 0.378
Y 0.500 0.622 0.147
Y 0.500 0.147 0.622
Y 0.500 0.500 0.500
Ho 0.500 0.748 0.574
Ho 0.500 0.252 0.426
Ho 0.500 0.426 0.252
Ho 0.500 0.574 0.748
Hg 0.000 0.824 0.176
Hg 0.000 0.176 0.824
Hg 0.000 0.587 0.943
Hg 0.000 0.413 0.057
Hg 0.000 0.943 0.587
Hg 0.000 0.371 0.629
Hg 0.000 0.771 0.771
Hg 0.000 0.229 0.229
Hg 0.000 0.057 0.413
Hg 0.000 0.000 0.000
Hg 0.000 0.629 0.371
CELL_PARAMETERS angstrom
3.558 0.000 0.000
0.000 12.764 -5.037
0.000 0.384 13.716
```

Computed properties:
**Raw total energy**: -3.72 eV/atom
**Symmetry**: Cmmm
**DOS(E_F)**: 22.82 states/eV/f.u.
**Volume**: 629.8 Å³/cell

***

No. 7
# YHoHg

An optimized crystal structure of YHoHg (GGA-PBE, Alexandria). Values from VASP.

Structure (Quantum ESPRESSO input):
```
&SYSTEM
  ibrav = 0, nat = 18, ntyp = 3
/
ATOMIC_SPECIES
Hg 200.59 Hg.upf
Ho 164.93 Ho.upf
Y 88.91 Y.upf
ATOMIC_POSITIONS crystal
Hg 0.750 0.278 0.745
Hg 0.750 0.761 0.598
Hg 0.250 0.239 0.402
Hg 0.250 0.742 0.937
Hg 0.750 0.258 0.063
Hg 0.250 0.722 0.255
Ho 0.750 0.145 0.548
Ho 0.750 0.026 0.904
Ho 0.250 0.855 0.452
Ho 0.750 0.640 0.787
Ho 0.250 0.974 0.096
Ho 0.250 0.360 0.213
Y 0.250 0.370 0.912
Y 0.250 0.977 0.714
Y 0.750 0.023 0.286
Y 0.750 0.526 0.392
Y 0.750 0.630 0.088
Y 0.250 0.474 0.608
CELL_PARAMETERS angstrom
3.780 0.000 0.000
0.000 8.740 -0.094
0.000 -0.189 15.308
```

Computed properties:
**Symmetry**: P2_1/m
**DOS(E_F)**: 4.03 states/eV/f.u.
**E above lowest polymorph**: 82.8 meV per atom
**Volume**: 505.7 Å³/cell

***

No. 8
# Y3HoHg12

An optimized crystal structure of Y3HoHg12 (GGA-PBE, Alexandria). Values from VASP.

Structure (Quantum ESPRESSO input):
```
&SYSTEM
  ibrav = 0, nat = 16, ntyp = 3
/
ATOMIC_SPECIES
Hg 200.59 Hg.upf
Y 88.91 Y.upf
Ho 164.93 Ho.upf
ATOMIC_POSITIONS crystal
Hg 0.000 0.500 0.375
Hg 0.500 0.000 0.876
Hg 0.500 0.500 0.751
Hg 0.500 0.000 0.625
Hg 0.500 0.500 0.000
Hg 0.500 0.000 0.375
Hg 0.500 0.500 0.500
Hg 0.000 0.500 0.625
Hg 0.500 0.500 0.249
Hg 0.500 0.000 0.124
Hg 0.000 0.500 0.876
Hg 0.000 0.500 0.124
Y 0.000 0.000 0.750
Y 0.000 0.000 0.500
Y 0.000 0.000 0.250
Ho 0.000 0.000 0.000
CELL_PARAMETERS angstrom
4.518 0.000 0.000
0.000 4.518 0.000
0.000 0.000 19.217
```

Computed properties:
**Raw total energy**: -2.05 eV/atom
**Symmetry**: P4/mmm
**DOS(E_F)**: 9.84 states/eV/f.u.
**Volume**: 392.2 Å³/cell

***

No. 9
# YHo3Hg12

An optimized crystal structure of YHo3Hg12 (GGA-PBE, Alexandria). Values from VASP.

Structure (Quantum ESPRESSO input):
```
&SYSTEM
  ibrav = 0, nat = 16, ntyp = 3
/
ATOMIC_SPECIES
Hg 200.59 Hg.upf
Y 88.91 Y.upf
Ho 164.93 Ho.upf
ATOMIC_POSITIONS crystal
Hg 0.500 0.500 0.000
Hg 0.000 0.500 0.625
Hg 0.500 0.000 0.375
Hg 0.000 0.500 0.874
Hg 0.500 0.000 0.625
Hg 0.000 0.500 0.375
Hg 0.500 0.000 0.874
Hg 0.500 0.500 0.250
Hg 0.500 0.500 0.750
Hg 0.500 0.500 0.500
Hg 0.500 0.000 0.126
Hg 0.000 0.500 0.126
Y 0.000 0.000 0.000
Ho 0.000 0.000 0.750
Ho 0.000 0.000 0.500
Ho 0.000 0.000 0.250
CELL_PARAMETERS angstrom
-2.206 3.141 2.362
-3.926 -1.880 -1.166
0.737 -11.202 15.582
```

Computed properties:
**Raw total energy**: -1.80 eV/atom
**Symmetry**: P4/mmm
**DOS(E_F)**: 9.48 states/eV/f.u.
**Volume**: 390.0 Å³/cell

***

No. 10
# YHo2Hg4

An optimized crystal structure of YHo2Hg4 (GGA-PBE, Alexandria). Values from VASP.

Structure (Quantum ESPRESSO input):
```
&SYSTEM
  ibrav = 0, nat = 7, ntyp = 3
/
ATOMIC_SPECIES
Hg 200.59 Hg.upf
Ho 164.93 Ho.upf
Y 88.91 Y.upf
ATOMIC_POSITIONS crystal
Hg 0.200 0.200 0.400
Hg 0.000 0.500 0.000
Hg 0.500 0.000 0.000
Hg 0.800 0.800 0.600
Ho 0.601 0.601 0.203
Ho 0.399 0.399 0.797
Y 0.000 0.000 0.000
CELL_PARAMETERS angstrom
5.618 0.000 0.000
0.000 5.618 0.000
-2.809 -2.809 7.648
```

Computed properties:
**Symmetry**: I4/mmm
**DOS(E_F)**: 6.65 states/eV/f.u.
**E above lowest polymorph**: 393.3 meV per atom
**Volume**: 241.4 Å³/cell

***

No. 11
# Y2HoHg6

An optimized crystal structure of Y2HoHg6 (GGA-PBE, Alexandria). Values from VASP.

Structure (Quantum ESPRESSO input):
```
&SYSTEM
  ibrav = 0, nat = 18, ntyp = 3
/
ATOMIC_SPECIES
Hg 200.59 Hg.upf
Y 88.91 Y.upf
Ho 164.93 Ho.upf
ATOMIC_POSITIONS crystal
Hg 0.529 0.319 0.570
Hg 0.138 0.346 0.096
Hg 0.971 0.430 0.681
Hg 0.029 0.570 0.319
Hg 0.804 0.014 0.765
Hg 0.471 0.681 0.430
Hg 0.304 0.765 0.014
Hg 0.638 0.096 0.346
Hg 0.862 0.654 0.904
Hg 0.696 0.235 0.986
Hg 0.362 0.904 0.654
Hg 0.196 0.986 0.235
Y 0.916 0.792 0.541
Y 0.416 0.541 0.792
Y 0.584 0.459 0.208
Y 0.084 0.208 0.459
Ho 0.250 0.125 0.875
Ho 0.750 0.875 0.125
CELL_PARAMETERS angstrom
5.393 0.171 0.577
0.730 8.951 2.284
0.282 -0.435 9.252
```

Computed properties:
**Raw total energy**: -2.55 eV/atom
**Symmetry**: C2/c
**DOS(E_F)**: 4.01 states/eV/f.u.
**Volume**: 449.3 Å³/cell

***

No. 12
# Y2HoHg

An optimized crystal structure of Y2HoHg (GGA-PBE, Alexandria). Values from VASP.

Structure (Quantum ESPRESSO input):
```
&SYSTEM
  ibrav = 0, nat = 4, ntyp = 3
/
ATOMIC_SPECIES
Hg 200.59 Hg.upf
Ho 164.93 Ho.upf
Y 88.91 Y.upf
ATOMIC_POSITIONS crystal
Hg 0.500 0.500 0.500
Ho 0.000 0.000 0.000
Y 0.903 0.903 0.291
Y 0.097 0.097 0.709
CELL_PARAMETERS angstrom
-0.853 2.963 1.705
-2.823 1.857 -0.998
-7.832 -4.505 7.551
```

Computed properties:
**Symmetry**: R-3m
**DOS(E_F)**: 5.21 states/eV/f.u.
**E above lowest polymorph**: 312.0 meV per atom
**Volume**: 124.7 Å³/cell

***

> volume of number 7 (YHoHg)?

505.7 Å³/cell